A plane-wave DFT calculation with GGA-PBE was carried out for a relaxed Rb3UI6 crystal.

abc: 8.982 8.982 9.116
angles: 118.13 118.13 61.54
Element x y z (fractional)
Rb: 0.000 0.000 0.000
Rb: 0.247 0.247 0.715
Rb: 0.753 0.753 0.285
U: 0.500 0.500 0.500
I: 0.186 0.666 0.653
I: 0.279 0.279 0.150
I: 0.334 0.814 0.347
I: 0.666 0.186 0.653
I: 0.721 0.721 0.850
I: 0.814 0.334 0.347

Results
Calculated volume   541 Å³ per cell
VASP energy   -35.7 eV/cell